[1]
A relaxed Tb9DyMg2 crystal. Source: the Alexandria database, functional PBE-GGA.

a = 4.9529 Å, b = 4.9529 Å, c = 14.9106 Å
α = 90.00°, β = 90.00°, γ = 90.00°
Space group P4/mmm (No. 123)
Unique sites:
1 Tb 0.0000 0.0000 0.0000 x1
2 Tb 0.0000 0.0000 0.3363 x2
3 Tb 0.0000 0.5000 0.1694 x4
4 Tb 0.0000 0.5000 0.5000 x2
5 Dy 0.5000 0.5000 0.0000 x1
6 Mg 0.5000 0.5000 0.3369 x2

For the total magnetization, the calculation gives 0.000 μB/f.u. The uncorrected energy comes out at -4.1018 eV per atom.

---

[2]
A relaxed ZrReP2W crystal. Source: the Alexandria database, functional PBE-GGA.

a = 4.5504 Å, b = 4.5504 Å, c = 5.2868 Å
α = 90.00°, β = 90.00°, γ = 90.00°
Space group P4/mmm (No. 123)
Unique sites:
1 Zr 0.0000 0.0000 0.0000 x1
2 Re 0.5000 0.5000 0.0000 x1
3 P 0.0000 0.5000 0.5000 x2
4 W 0.0000 0.0000 0.5000 x1

For the total magnetization, the calculation gives 2.621 μB/f.u. The uncorrected energy comes out at -7.6635 eV per atom.

---

[3]
A relaxed TlSeS3 crystal. Source: the Alexandria database, functional PBE-GGA.

a = 6.3071 Å, b = 6.7676 Å, c = 7.0216 Å
α = 87.21°, β = 76.86°, γ = 89.18°
Space group P1 (No. 1)
Unique sites:
1 Tl 0.0000 0.0000 0.0000 x1
2 Tl 0.4236 0.4920 0.2444 x1
3 Se 0.5264 0.9449 0.5915 x1
4 Se 0.8969 0.5497 0.6521 x1
5 S 0.4485 0.6791 0.7518 x1
6 S 0.4798 0.0106 0.0950 x1
7 S 0.5434 0.1724 0.8413 x1
8 S 0.8805 0.3217 0.4026 x1
9 S 0.9439 0.4831 0.1486 x1
10 S 0.9748 0.8154 0.4917 x1

For the total magnetization, the calculation gives 0.000 μB/f.u. The uncorrected energy comes out at -3.6873 eV per atom.

---

[4]
A relaxed Na2Cd2Sn crystal. Source: the Alexandria database, functional PBE-GGA.

a = 10.6143 Å, b = 4.9320 Å, c = 10.4257 Å
α = 90.00°, β = 101.04°, γ = 90.00°
Space group C2/m (No. 12)
Unique sites:
1 Na 0.1166 0.0000 0.4005 x4
2 Na 0.1743 0.0000 0.0601 x4
3 Cd 0.0086 0.5000 0.1405 x4
4 Cd 0.0933 0.5000 0.6174 x4
5 Sn 0.1989 0.0000 0.7474 x4

For the total magnetization, the calculation gives 0.000 μB/f.u. The uncorrected energy comes out at -1.8182 eV per atom.